## Ba2ZrTl (PBE)

Data for a geometry-optimized Ba2ZrTl structure.

POSCAR file:
```
Ba2ZrTl
1.0
-5.539 7.620 1.562
-7.316 -4.452 -4.223
-7.356 0.303 1.630
Tl Ba Zr
2 4 2
Direct
0.000 0.000 0.000
0.750 0.250 0.500
0.637 0.125 0.250
0.113 0.625 0.250
0.375 0.363 0.750
0.875 0.887 0.750
0.500 0.500 0.000
0.250 0.750 0.500
```

energy relative to the elements = 0.529 eV/atom